No. 1
This record from Alexandria via LeMat-Bulk describes crystalline LiHg3F7 at its relaxed geometry. The functional is PBE.

Structure (extended XYZ):
```
22
Lattice="-4.151 0.610 -5.290 6.219 -1.162 -2.360 -1.314 -7.393 0.178" Properties=species:S:1:pos:R:3 pbc="T T T"
F 2.200 -4.565 -5.503
F 1.623 -7.828 -5.419
F 2.105 -2.363 -3.385
F -1.450 -3.384 -1.975
F -0.867 -0.121 -2.048
F 1.052 -4.254 -1.236
F 0.283 -0.424 -6.315
F -3.689 -1.373 -5.023
F 0.467 -7.516 -1.154
F -0.292 -3.688 -6.240
F -0.572 -1.906 -4.142
F 4.443 -6.572 -2.450
F -1.352 -5.581 -4.087
F 1.325 -6.039 -3.331
Hg 1.043 -0.278 -3.858
Hg -2.610 -1.516 -2.882
Hg 2.442 -6.183 -1.180
Hg 3.363 -6.434 -4.590
Hg -1.688 -1.757 -6.292
Hg 0.368 -3.970 -3.703
Li 1.397 -4.244 -7.509
Li 0.014 -0.004 -0.052
```

Calculated values
formation energy from raw total energies = -1.668 eV per atom
symmetry = C222_1

No. 2
This record from Alexandria via LeMat-Bulk describes crystalline Ba2PrZn at its relaxed geometry. The functional is PBE.

Structure (extended XYZ):
```
4
Lattice="3.941 0.000 0.000 1.971 3.413 0.000 1.971 1.138 12.550" Properties=species:S:1:pos:R:3 pbc="T T T"
Ba 1.971 1.138 8.770
Ba 5.912 3.413 3.780
Pr 0.000 0.000 0.000
Zn 3.941 2.275 6.275
```

Calculated values
calculated formation energy = 0.2717 eV/atom
D(E_F) = 6.3 states/eV/cell
symmetry = R-3m

No. 3
This record from Alexandria via LeMat-Bulk describes crystalline Nd8Ho3Sc at its relaxed geometry. The functional is PBE.

Structure (extended XYZ):
```
12
Lattice="7.614 -0.554 -3.661 -4.469 7.104 -1.120 -0.348 0.554 8.441" Properties=species:S:1:pos:R:3 pbc="T T T"
Nd 0.393 5.392 3.524
Nd -4.167 6.624 4.333
Nd 2.584 1.426 -0.136
Nd -1.425 2.266 6.287
Nd 0.145 2.689 1.780
Nd -3.571 5.677 1.307
Nd -3.126 4.968 6.750
Nd 5.127 0.480 -1.881
Sc 0.000 0.000 0.000
Ho 0.368 5.189 -0.560
Ho -2.409 3.829 3.661
Ho 2.429 1.914 4.221
```

Calculated values
calculated formation energy = 0.5556 eV/atom
D(E_F) = 19.4 states/eV/cell
symmetry = I-42m

No. 4
This record from Alexandria via LeMat-Bulk describes crystalline La8Pt3I4Br at its relaxed geometry. The functional is PBE.

Structure (extended XYZ):
```
16
Lattice="8.691 0.000 0.000 0.000 9.420 0.509 -4.346 -4.345 6.148" Properties=species:S:1:pos:R:3 pbc="T T T"
Pt 4.346 4.710 0.254
Pt 2.173 2.537 3.328
Pt -2.173 2.537 3.328
La 2.255 2.605 0.359
La 4.346 0.514 3.318
La 6.437 2.605 0.359
La 0.000 0.604 3.498
La 2.091 2.469 6.298
La 4.346 4.471 3.159
La 0.000 4.560 3.338
La -2.091 2.469 6.298
I 4.346 0.000 0.000
I 0.000 0.000 0.000
I 2.173 -2.173 3.074
I -2.173 -2.173 3.074
Br 0.000 4.710 0.254
```

Calculated values
D(E_F) = 16.6 states/eV/cell
formation energy from raw total energies = -1.180 eV per atom
symmetry = R-3m

No. 5
This record from Alexandria via LeMat-Bulk describes crystalline Er8GeTe4As3 at its relaxed geometry. The functional is PBE.

Structure (extended XYZ):
```
16
Lattice="-4.104 3.920 -6.125 -0.733 -7.354 -4.216 -2.758 0.508 7.865" Properties=species:S:1:pos:R:3 pbc="T T T"
Er -4.878 -2.135 -3.790
Er -4.783 1.177 -1.733
Er -2.717 -0.792 1.314
Er -6.276 -1.871 0.136
Er -4.205 -3.849 3.227
Er -3.391 0.922 -5.702
Er -1.320 -1.056 -2.611
Er -2.813 -4.104 -0.742
As -3.798 -1.463 -1.238
As -1.746 -3.423 1.825
As -2.419 -1.717 -5.170
Te -1.379 0.254 3.933
Te -2.052 1.960 -3.062
Te 0.000 0.000 0.000
Te -3.431 2.214 0.870
Ge -0.367 -3.677 -2.108
```

Calculated values
D(E_F) = 4.8 states/eV/cell
formation energy from raw total energies = -1.392 eV per atom
symmetry = R-3m

Number 1: energy -3.115 eV per atom, density 7.6 Mg/m³. Number 2: energy -2.203 eV per atom, density 4.7 Mg/m³. Number 3: energy -4.295 eV per atom, density 6.4 Mg/m³. Number 4: energy -5.268 eV per atom, density 7.3 Mg/m³. Number 5: energy -5.620 eV per atom, density 8.4 Mg/m³.